Entry 1:
# CsNd2Ag3Te5

A relaxed structure of CsNd2Ag3Te5 (GGA-PBE, the Alexandria database).

Unit cell a=8.5534 b=8.5534 c=18.9624 alpha=90.00 beta=90.00 gamma=148.36
With the nearest neighbours (Å) after each atom.
Sites, in units of the cell vectors:
Cs 0.0596 0.9404 0.7500  8 Te 3.84-3.93, 2 Ag 4.29
Cs 0.9404 0.0596 0.2500  8 Te 3.84-3.93, 2 Ag 4.29
Nd 0.1897 0.8103 0.0929  6 Te 3.16-3.26
Nd 0.1897 0.8103 0.4071  6 Te 3.16-3.26
Nd 0.8103 0.1897 0.5929  6 Te 3.16-3.26
Nd 0.8103 0.1897 0.9071  6 Te 3.16-3.26
Ag 0.3406 0.6594 0.7500  4 Te 2.80-2.98
Ag 0.4122 0.5878 0.0294  4 Te 2.86-2.96, 1 Ag 3.10
Ag 0.4122 0.5878 0.4706  4 Te 2.86-2.96, 1 Ag 3.10
Ag 0.5878 0.4122 0.5294  4 Te 2.86-2.96, 1 Ag 3.10
Ag 0.5878 0.4122 0.9706  4 Te 2.86-2.96, 1 Ag 3.10
Ag 0.6594 0.3406 0.2500  4 Te 2.80-2.98
Te 0.1739 0.8261 0.5738  2 Ag 2.86, 1 Nd 3.17
Te 0.1739 0.8261 0.9262  2 Ag 2.86, 1 Nd 3.17
Te 0.2532 0.7468 0.2500  2 Ag 2.80
Te 0.4405 0.5595 0.6192  3 Ag 2.86-2.98
Te 0.4405 0.5595 0.8808  3 Ag 2.86-2.98
Te 0.5595 0.4405 0.1192  3 Ag 2.86-2.98
Te 0.5595 0.4405 0.3808  3 Ag 2.86-2.98
Te 0.7468 0.2532 0.7500  2 Ag 2.80
Te 0.8261 0.1739 0.0738  2 Ag 2.86, 1 Nd 3.17
Te 0.8261 0.1739 0.4262  2 Ag 2.86, 1 Nd 3.17

Its formation energy (no corrections) is -0.913 eV per atom. Its space-group type is Cmcm.

Entry 2:
# CaPuIn4

A relaxed structure of CaPuIn4 (GGA-PBE, the Alexandria database).

Unit cell a=6.1114 b=6.1114 c=6.1114 alpha=60.00 beta=60.00 gamma=60.00
With the nearest neighbours (Å) after each atom.
Sites, in units of the cell vectors:
Ca 0.0000 0.0000 0.0000  12 In 3.58, 4 Pu 3.74
Pu 0.2500 0.2500 0.2500  12 In 3.58, 4 Ca 3.74
In 0.1258 0.6247 0.6247  6 In 3.05-3.06
In 0.6247 0.1258 0.6247  6 In 3.05-3.06
In 0.6247 0.6247 0.1258  6 In 3.05-3.06
In 0.6247 0.6247 0.6247  6 In 3.05-3.06

For the energy above the most stable polymorph in this dataset, the calculation gives 78 meV/atom. Its space-group type is F-43m. Its density of states at the Fermi level is 18.525 states/eV/cell. The calculation puts the formation energy at -196 meV/atom.

Entry 3:
# SrMnSi2Os

A relaxed structure of SrMnSi2Os (GGA-PBE, the Alexandria database).

Unit cell a=6.1155 b=6.1155 c=6.1155 alpha=140.93 beta=140.93 gamma=56.45
With the nearest neighbours (Å) after each atom.
Sites, in units of the cell vectors:
Sr 0.0000 0.0000 0.0000  8 Si 3.22, 4 Mn 3.38, 4 Os 3.38
Mn 0.7500 0.2500 0.5000  4 Si 2.41
Si 0.3683 0.3683 0.0000  2 Mn 2.41, 2 Os 2.41
Si 0.6317 0.6317 0.0000  2 Mn 2.41, 2 Os 2.41
Os 0.2500 0.7500 0.5000  4 Si 2.41

Its formation energy (no corrections) is -0.430 eV per atom. Its space-group type is I-4m2. Its density of states at the Fermi level is 2.335 states/eV/cell.

Entry 4:
# VSnPt2N

A relaxed structure of VSnPt2N (GGA-PBE, the Alexandria database).

Unit cell a=4.9370 b=4.9370 c=3.6338 alpha=90.00 beta=90.00 gamma=90.00
With the nearest neighbours (Å) after each atom.
Sites, in units of the cell vectors:
V 0.0000 0.0000 0.0000  2 N 1.82
Sn 0.5000 0.5000 0.5000  8 Pt 3.07
Pt 0.0000 0.5000 0.0000  2 V 2.47
Pt 0.5000 0.0000 0.0000  2 V 2.47
N 0.0000 0.0000 0.5000  2 V 1.82

Its formation energy (no corrections) is 0.312 eV per atom. Its space-group type is P4/mmm. Its density of states at the Fermi level is 3.033 states/eV/cell.

Entry 5:
# Tl2Fe2Cl7

A relaxed structure of Tl2Fe2Cl7 (GGA-PBE, the Alexandria database).

Unit cell a=7.9372 b=7.9372 c=6.5317 alpha=95.86 beta=95.86 gamma=103.73
With the nearest neighbours (Å) after each atom.
Sites, in units of the cell vectors:
Tl 0.2015 0.7985 0.0000  6 Cl 3.22-3.26
Tl 0.7985 0.2015 0.0000  6 Cl 3.22-3.26
Fe 0.2774 0.2774 0.5715  4 Cl 2.23-2.31
Fe 0.7226 0.7226 0.4285  4 Cl 2.23-2.31
Cl 0.1051 0.4033 0.7517  1 Fe 2.23
Cl 0.1339 0.1339 0.2677  1 Fe 2.23
Cl 0.4033 0.1051 0.7517  1 Fe 2.23
Cl 0.5000 0.5000 0.5000  2 Fe 2.31
Cl 0.5967 0.8949 0.2483  1 Fe 2.23
Cl 0.8661 0.8661 0.7323  1 Fe 2.23
Cl 0.8949 0.5967 0.2483  1 Fe 2.23

Its formation energy (no corrections) is -0.876 eV per atom. Its space-group type is C2/m. Its density of states at the Fermi level is 6.746 states/eV/cell.

Entry 6:
# KCaNiHg2

A relaxed structure of KCaNiHg2 (GGA-PBE, the Alexandria database).

Unit cell a=5.2533 b=5.2533 c=5.0947 alpha=90.00 beta=90.00 gamma=90.00
With the nearest neighbours (Å) after each atom.
Sites, in units of the cell vectors:
K 0.0000 0.0000 0.0000  8 Hg 3.66, 4 Ca 3.71
Ca 0.5000 0.5000 0.0000  2 Ni 2.55
Ni 0.5000 0.5000 0.5000  2 Ca 2.55, 4 Hg 2.63
Hg 0.0000 0.5000 0.5000  2 Ni 2.63
Hg 0.5000 0.0000 0.5000  2 Ni 2.63

Its space-group type is P4/mmm. Its density of states at the Fermi level is 2.279 states/eV/cell. The calculation puts the formation energy at -134 meV/atom.

Entry 7:
# Co2AuCl

A relaxed structure of Co2AuCl (GGA-PBE, the Alexandria database).

Unit cell a=5.1850 b=5.1850 c=5.1850 alpha=148.53 beta=113.03 gamma=75.86
With the nearest neighbours (Å) after each atom.
Sites, in units of the cell vectors:
Co 0.2272 0.2272 0.0000  2 Cl 2.33
Co 0.7728 0.7728 0.0000  2 Cl 2.33
Au 0.5000 0.0000 0.5000  4 Co 2.64, 2 Au 2.81
Cl 0.0000 0.5000 0.5000  4 Co 2.33

Its formation energy (no corrections) is 0.609 eV per atom. For the energy above the most stable polymorph in this dataset, the calculation gives 419 meV/atom. Its space-group type is Immm. Its density of states at the Fermi level is 6.872 states/eV/cell.

Entry 8:
# ZrPNO2

A relaxed structure of ZrPNO2 (GGA-PBE, the Alexandria database).

Unit cell a=3.6554 b=3.6554 c=3.7729 alpha=90.00 beta=90.00 gamma=90.00
With the nearest neighbours (Å) after each atom.
Sites, in units of the cell vectors:
Zr 0.0000 0.0000 0.0000  4 N 2.58, 8 O 2.63
P 0.5000 0.5000 0.5000  4 O 1.83, 2 N 1.89
N 0.5000 0.5000 0.0000  2 P 1.89
O 0.0000 0.5000 0.5000  2 P 1.83
O 0.5000 0.0000 0.5000  2 P 1.83

Its formation energy (no corrections) is -0.843 eV per atom. Its space-group type is P4/mmm. Its density of states at the Fermi level is 2.311 states/eV/cell.

Entry 9:
# ScZn2Os

A relaxed structure of ScZn2Os (GGA-PBE, the Alexandria database).

Unit cell a=4.4375 b=4.4375 c=4.4375 alpha=60.00 beta=60.00 gamma=60.00
With the nearest neighbours (Å) after each atom.
Sites, in units of the cell vectors:
Sc 0.0000 0.0000 0.0000  8 Zn 2.72
Zn 0.2500 0.2500 0.2500  4 Os 2.72, 4 Sc 2.72
Zn 0.7500 0.7500 0.7500  4 Os 2.72, 4 Sc 2.72
Os 0.5000 0.5000 0.5000  8 Zn 2.72

For the energy above the most stable polymorph in this dataset, the calculation gives 140 meV/atom. Its space-group type is Fm-3m. Its density of states at the Fermi level is 3.852 states/eV/cell. The calculation puts the formation energy at -130 meV/atom.

Entry 10:
# CdAg2Te

A relaxed structure of CdAg2Te (GGA-PBE, the Alexandria database).

Unit cell a=5.4325 b=5.4325 c=5.4325 alpha=131.53 beta=131.53 gamma=70.98
With the nearest neighbours (Å) after each atom.
Sites, in units of the cell vectors:
Cd 0.0000 0.0000 0.0000  8 Ag 3.14, 4 Te 3.15
Ag 0.2500 0.7500 0.5000  4 Cd 3.14, 4 Te 3.14, 4 Ag 3.15
Ag 0.7500 0.2500 0.5000  4 Cd 3.14, 4 Te 3.14, 4 Ag 3.15
Te 0.5000 0.5000 0.0000  8 Ag 3.14, 4 Cd 3.15

Its formation energy (no corrections) is 0.067 eV per atom. For the energy above the most stable polymorph in this dataset, the calculation gives 68 meV/atom. Its space-group type is I4/mmm. Its density of states at the Fermi level is 1.016 states/eV/cell.